! LiCaLa2Ir, optimized geometry, DFT GGA-PBE; values from VASP
&SYSTEM
  ibrav = 0, nat = 5, ntyp = 4
/
ATOMIC_SPECIES
Li 6.94 Li.upf
Ca 40.08 Ca.upf
La 138.91 La.upf
Ir 192.22 Ir.upf
CELL_PARAMETERS angstrom
5.568 0.000 0.000
0.000 5.568 0.000
0.000 0.000 5.344
ATOMIC_POSITIONS crystal
Li 0.000 0.000 0.000
Ca 0.500 0.500 0.000
La 0.000 0.500 0.500
La 0.500 0.000 0.500
Ir 0.000 0.000 0.500
! space group = P4/mmm, No. 123
! polymorph energy (0 for the lowest one) = 0.40 eV/f.u.
! formation enthalpy at 0 K = -0.21 eV/atom
! total DFT energy (no corrections) = -4.736 eV/atom